# Sr2Cr2O, relaxed, DFT GGA+U
data_Sr2Cr2O
_chemical_formula_sum 'Sr4 Cr4 O2'
_symmetry_space_group_name_H-M 'P 4/m b m'
_symmetry_Int_Tables_number 127
_symmetry_space_group_name_Hall '-P 4 2ab'
_cell_length_a 7.390
_cell_length_b 7.390
_cell_length_c 4.439
_cell_angle_alpha 90.00
_cell_angle_beta 90.00
_cell_angle_gamma 90.00
loop_
_atom_site_label
_atom_site_fract_x
_atom_site_fract_y
_atom_site_fract_z
Sr1 0.198 0.302 0.000
Cr1 0.085 0.585 0.500
O1 0.000 0.000 0.500
# * calculated density: 4.05 g/cm³
# * crystal system: tetragonal
# * polymorph energy (0 for the lowest one): 1478 meV/atom